Here is Cd2Ag2Sn after structural relaxation from Alexandria. Energies are from PBE.

a = 8.3012 Å, b = 8.3012 Å, c = 3.1446 Å
α = 90.00°, β = 90.00°, γ = 90.00°
Atoms (fractional coordinates):
Cd (0.1724, 0.3276, 0.0000)
Cd (0.3276, 0.8276, 0.0000)
Cd (0.6724, 0.1724, 0.0000)
Cd (0.8276, 0.6724, 0.0000)
Ag (0.1241, 0.6241, 0.5000)
Ag (0.3759, 0.1241, 0.5000)
Ag (0.6241, 0.8759, 0.5000)
Ag (0.8759, 0.3759, 0.5000)
Sn (0.0000, 0.0000, 0.5000)
Sn (0.5000, 0.5000, 0.5000)

Output
excess energy over the best structure of this formula in the dataset = 3 meV per atom
Fermi-level density of states = 2.86 states/eV/cell
formation enthalpy at 0 K = 8 kJ/mol of formula units
calculated density = 8.57 Mg/m³